{"formula": "FeBi2Sb", "functional": "PBE", "state": "optimized geometry", "cell": [[-0.695, -3.727, 3.494], [-4.629, -2.207, 0.529], [-0.725, -4.868, -1.534]], "species": ["Bi", "Bi", "Fe", "Sb"], "frac_coords": [[0.750, 0.750, 0.750], [0.000, 0.000, 0.000], [0.250, 0.250, 0.250], [0.500, 0.500, 0.500]], "e_tot_ev_per_atom": -4.516}



{"formula": "MgNiH", "functional": "PBE", "state": "optimized geometry", "cell": [[-1.952, -2.254, 0.742], [2.309, -1.582, 1.268], [-0.580, 1.443, 2.856]], "species": ["Ni", "Mg", "H"], "frac_coords": [[0.000, 0.000, 0.500], [0.500, 0.500, 0.000], [0.000, 0.000, 0.000]], "e_tot_ev_per_atom": -3.701}



{"formula": "LuNpAs", "functional": "PBE", "state": "optimized geometry", "cell": [[2.494, 1.895, 3.612], [-0.466, 4.641, 1.051], [-2.237, 1.330, 4.011]], "species": ["As", "Np", "Lu"], "frac_coords": [[0.000, 0.000, 0.000], [0.750, 0.750, 0.750], [0.250, 0.250, 0.250]], "e_tot_ev_per_atom": -7.571}



{"formula": "Nd3Y3Te2Ir", "functional": "PBE", "state": "optimized geometry", "cell": [[8.467, 0.000, 0.000], [-4.234, 7.333, 0.000], [0.000, 0.000, 4.073]], "species": ["Te", "Te", "Y", "Y", "Y", "Ir", "Nd", "Nd", "Nd"], "frac_coords": [[0.667, 0.333, 0.500], [0.333, 0.667, 0.500], [0.762, 0.000, 0.500], [0.000, 0.762, 0.500], [0.238, 0.238, 0.500], [0.000, 0.000, 0.000], [0.402, 0.000, 0.000], [0.598, 0.598, 0.000], [0.000, 0.402, 0.000]], "e_tot_ev_per_atom": -6.314}



{"formula": "Co2P2S7", "functional": "PBE", "state": "optimized geometry", "cell": [[-3.933, -1.652, 4.203], [-4.589, -3.754, -0.840], [6.321, -5.070, 1.291]], "species": ["S", "S", "S", "S", "S", "S", "S", "Co", "Co", "P", "P"], "frac_coords": [[0.129, 0.728, 0.772], [0.419, 0.001, 0.654], [0.883, 0.395, 0.906], [0.272, 0.871, 0.228], [0.999, 0.581, 0.346], [0.605, 0.117, 0.094], [0.759, 0.241, 0.500], [0.190, 0.240, 0.140], [0.760, 0.810, 0.860], [0.069, 0.071, 0.711], [0.929, 0.931, 0.289]], "e_tot_ev_per_atom": -5.046}



{"formula": "CsZrCu3Se4", "functional": "PBE", "state": "optimized geometry", "cell": [[6.443, 0.000, 0.000], [0.000, 6.443, 0.000], [0.000, 0.000, 6.443]], "species": ["Cs", "Cu", "Cu", "Cu", "Se", "Se", "Se", "Se", "Zr"], "frac_coords": [[0.000, 0.000, 0.000], [0.500, 0.000, 0.500], [0.500, 0.500, 0.000], [0.000, 0.500, 0.500], [0.722, 0.278, 0.722], [0.278, 0.278, 0.278], [0.278, 0.722, 0.722], [0.722, 0.722, 0.278], [0.500, 0.500, 0.500]], "e_tot_ev_per_atom": -4.393}



{"formula": "TbAgPbS3", "functional": "PBE", "state": "optimized geometry", "cell": [[8.706, -1.984, 0.000], [8.706, 1.984, 0.000], [-1.998, 0.000, 8.150]], "species": ["S", "S", "S", "S", "S", "S", "Tb", "Tb", "Pb", "Pb", "Ag", "Ag"], "frac_coords": [[0.681, 0.681, 0.321], [0.673, 0.673, 0.862], [0.500, 0.500, 0.500], [0.327, 0.327, 0.138], [0.319, 0.319, 0.679], [0.000, 0.000, 0.000], [0.164, 0.164, 0.088], [0.836, 0.836, 0.912], [0.133, 0.133, 0.574], [0.867, 0.867, 0.426], [0.476, 0.476, 0.787], [0.524, 0.524, 0.213]], "e_tot_ev_per_atom": -4.969}



{"formula": "KNbIr", "functional": "PBE", "state": "optimized geometry", "cell": [[-2.309, -2.212, 3.322], [-4.512, -0.819, -0.482], [-1.499, -4.302, -0.707]], "species": ["K", "Ir", "Nb"], "frac_coords": [[0.250, 0.250, 0.250], [0.000, 0.000, 0.000], [0.750, 0.750, 0.750]], "e_tot_ev_per_atom": -5.553}



{"formula": "YFeSiPd", "functional": "PBE", "state": "optimized geometry", "cell": [[0.000, 3.268, 3.268], [3.268, 0.000, 3.268], [3.268, 3.268, 0.000]], "species": ["Pd", "Fe", "Si", "Y"], "frac_coords": [[0.500, 0.500, 0.500], [0.750, 0.750, 0.750], [0.000, 0.000, 0.000], [0.250, 0.250, 0.250]], "e_tot_ev_per_atom": -6.560}



{"formula": "HoAgS2", "functional": "PBE", "state": "optimized geometry", "cell": [[-2.953, 2.953, 6.180], [2.953, -2.953, 6.180], [2.953, 2.953, -6.180]], "species": ["Ag", "Ag", "S", "S", "S", "S", "Ho", "Ho"], "frac_coords": [[0.000, 0.000, 0.000], [0.750, 0.250, 0.500], [0.375, 0.875, 0.000], [0.125, 0.125, 0.500], [0.875, 0.375, 0.000], [0.625, 0.625, 0.500], [0.500, 0.500, 0.000], [0.250, 0.750, 0.500]], "e_tot_ev_per_atom": -5.092}



{"formula": "GdAlNiPt", "functional": "PBE", "state": "optimized geometry", "cell": [[-1.306, -0.006, -4.059], [-1.874, -2.563, 2.846], [-6.111, 6.641, 1.957]], "species": ["Pt", "Pt", "Ni", "Ni", "Gd", "Gd", "Al", "Al"], "frac_coords": [[0.667, 0.333, 0.415], [0.333, 0.667, 0.585], [0.333, 0.667, 0.942], [0.667, 0.333, 0.058], [0.667, 0.333, 0.758], [0.333, 0.667, 0.242], [0.000, 0.000, 0.000], [0.000, 0.000, 0.500]], "e_tot_ev_per_atom": -5.868}



{"formula": "Sc4HgBr2", "functional": "PBE", "state": "optimized geometry", "cell": [[-2.574, -7.139, -1.814], [-0.482, -5.784, 5.215], [-1.953, 7.504, -0.865]], "species": ["Br", "Br", "Hg", "Sc", "Sc", "Sc", "Sc"], "frac_coords": [[0.390, 0.390, 0.000], [0.610, 0.610, 0.000], [0.000, 0.000, 0.000], [0.200, 0.200, 0.000], [0.800, 0.800, 0.000], [0.000, 0.500, 0.500], [0.500, 0.000, 0.500]], "e_tot_ev_per_atom": -4.292}



{"formula": "CuTc2B", "functional": "PBE", "state": "optimized geometry", "cell": [[2.757, -2.621, -1.549], [-0.870, -4.009, -0.211], [-0.670, -1.767, -3.648]], "species": ["Tc", "Tc", "B", "Cu"], "frac_coords": [[0.000, 0.000, 0.000], [0.750, 0.750, 0.750], [0.500, 0.500, 0.500], [0.250, 0.250, 0.250]], "e_tot_ev_per_atom": -7.228}



{"formula": "GaNi2", "functional": "PBE", "state": "optimized geometry", "cell": [[0.000, 3.351, 3.351], [3.351, 0.000, 3.351], [3.351, 3.351, 0.000]], "species": ["Ni", "Ni", "Ni", "Ni", "Ga", "Ga"], "frac_coords": [[0.625, 0.625, 0.125], [0.625, 0.625, 0.625], [0.625, 0.125, 0.625], [0.125, 0.625, 0.625], [0.000, 0.000, 0.000], [0.250, 0.250, 0.250]], "e_tot_ev_per_atom": -4.802}



{"formula": "Co2Ge2Bi", "functional": "PBE", "state": "optimized geometry", "cell": [[5.829, 0.000, 0.000], [0.000, 3.631, 0.000], [0.000, 0.000, 8.107]], "species": ["Ge", "Ge", "Ge", "Ge", "Bi", "Bi", "Co", "Co", "Co", "Co"], "frac_coords": [[0.250, 0.000, 0.411], [0.750, 0.500, 0.265], [0.250, 0.500, 0.735], [0.750, 0.000, 0.589], [0.000, 0.000, 0.000], [0.500, 0.000, 0.000], [0.500, 0.500, 0.500], [0.250, 0.500, 0.227], [0.000, 0.500, 0.500], [0.750, 0.500, 0.773]], "e_tot_ev_per_atom": -5.318}



{"formula": "TaNi2C4", "functional": "PBE", "state": "optimized geometry", "cell": [[-1.294, 2.056, 5.977], [1.294, -2.056, 5.977], [1.294, 2.056, -5.977]], "species": ["Ni", "Ni", "C", "C", "C", "C", "Ta"], "frac_coords": [[0.221, 0.721, 0.500], [0.779, 0.279, 0.500], [0.622, 0.122, 0.500], [0.378, 0.878, 0.500], [0.561, 0.561, 0.000], [0.439, 0.439, 0.000], [0.000, 0.000, 0.000]], "e_tot_ev_per_atom": -7.860}



{"formula": "MgZr4TlC2", "functional": "PBE", "state": "optimized geometry", "cell": [[-1.312, -1.555, -2.680], [2.174, -1.623, 1.989], [-11.767, -5.085, 8.712]], "species": ["Zr", "Zr", "Zr", "Zr", "C", "C", "Mg", "Tl"], "frac_coords": [[0.667, 0.333, 0.325], [0.667, 0.333, 0.675], [0.000, 0.000, 0.165], [0.000, 0.000, 0.835], [0.333, 0.667, 0.245], [0.333, 0.667, 0.755], [0.000, 0.000, 0.500], [0.667, 0.333, 0.000]], "e_tot_ev_per_atom": -7.600}



{"formula": "ErTm3Al2C2", "functional": "PBE", "state": "optimized geometry", "cell": [[3.510, 0.000, 0.000], [-1.755, 3.040, 0.000], [0.000, 0.000, 15.749]], "species": ["C", "C", "Tm", "Tm", "Tm", "Er", "Al", "Al"], "frac_coords": [[0.667, 0.333, 0.500], [0.667, 0.333, 0.001], [0.000, 0.000, 0.585], [0.333, 0.667, 0.415], [0.333, 0.667, 0.086], [0.000, 0.000, 0.915], [0.000, 0.000, 0.250], [0.333, 0.667, 0.749]], "e_tot_ev_per_atom": -5.779}



{"formula": "BaSnMo", "functional": "PBE", "state": "optimized geometry", "cell": [[0.000, 3.646, 3.646], [3.646, 0.000, 3.646], [3.646, 3.646, 0.000]], "species": ["Ba", "Mo", "Sn"], "frac_coords": [[0.250, 0.250, 0.250], [0.000, 0.000, 0.000], [0.750, 0.750, 0.750]], "e_tot_ev_per_atom": -4.827}



{"formula": "Pm5NdTl3", "functional": "PBE", "state": "optimized geometry", "cell": [[-4.602, -3.224, -7.771], [1.586, -8.916, -3.155], [-5.115, -2.323, 3.993]], "species": ["Pm", "Pm", "Pm", "Pm", "Pm", "Pm", "Pm", "Pm", "Pm", "Pm", "Tl", "Tl", "Tl", "Tl", "Tl", "Tl", "Nd", "Nd"], "frac_coords": [[0.667, 0.667, 0.500], [0.333, 0.333, 0.500], [0.333, 0.333, 0.000], [0.668, 0.000, 0.250], [0.332, 0.668, 0.250], [0.000, 0.332, 0.250], [0.667, 0.667, 0.000], [0.668, 0.332, 0.750], [0.332, 0.000, 0.750], [0.000, 0.668, 0.750], [0.665, 0.335, 0.250], [0.665, 0.000, 0.750], [0.335, 0.000, 0.250], [0.335, 0.665, 0.750], [0.000, 0.335, 0.750], [0.000, 0.665, 0.250], [0.000, 0.000, 0.500], [0.000, 0.000, 0.000]], "e_tot_ev_per_atom": -4.226}



{"formula": "HfZn2Pd3", "functional": "PBE", "state": "optimized geometry", "cell": [[3.357, 0.000, 0.000], [0.000, 3.357, 0.000], [0.000, 0.000, 8.593]], "species": ["Pd", "Pd", "Pd", "Zn", "Zn", "Hf"], "frac_coords": [[0.500, 0.500, 0.333], [0.000, 0.000, 0.850], [0.500, 0.500, 0.657], [0.500, 0.500, 0.972], [0.000, 0.000, 0.521], [0.000, 0.000, 0.166]], "formation_energy_mev_per_atom": -468}



{"formula": "ZnCuSnPt", "functional": "PBE", "state": "optimized geometry", "cell": [[0.000, 3.188, 3.188], [3.188, 0.000, 3.188], [3.188, 3.188, 0.000]], "species": ["Pt", "Zn", "Sn", "Cu"], "frac_coords": [[0.250, 0.250, 0.250], [0.500, 0.500, 0.500], [0.000, 0.000, 0.000], [0.750, 0.750, 0.750]], "e_tot_ev_per_atom": -3.954}



{"formula": "Cs2TcS3", "functional": "PBE", "state": "optimized geometry", "cell": [[-4.113, 5.640, -3.701], [-6.968, 2.930, 2.302], [8.607, 2.136, 5.057]], "species": ["Cs", "Cs", "Cs", "Cs", "S", "S", "S", "S", "S", "S", "Tc", "Tc"], "frac_coords": [[0.699, 0.699, 0.310], [0.301, 0.301, 0.690], [0.917, 0.917, 0.137], [0.083, 0.083, 0.863], [0.216, 0.216, 0.280], [0.784, 0.784, 0.720], [0.610, 0.610, 0.882], [0.748, 0.252, 0.500], [0.390, 0.390, 0.118], [0.252, 0.748, 0.500], [0.603, 0.603, 0.658], [0.397, 0.397, 0.342]], "e_tot_ev_per_atom": -4.926}



{"formula": "ErAgPbSe3", "functional": "PBE", "state": "optimized geometry", "cell": [[-2.179, 0.750, -13.505], [2.004, -3.566, -0.521], [-9.366, -5.442, 1.209]], "species": ["Se", "Se", "Se", "Se", "Se", "Se", "Se", "Se", "Se", "Se", "Se", "Se", "Pb", "Pb", "Pb", "Pb", "Ag", "Ag", "Ag", "Ag", "Er", "Er", "Er", "Er"], "frac_coords": [[0.618, 0.750, 0.628], [0.605, 0.250, 0.935], [0.850, 0.250, 0.741], [0.650, 0.750, 0.241], [0.382, 0.250, 0.372], [0.350, 0.250, 0.759], [0.118, 0.750, 0.872], [0.105, 0.250, 0.565], [0.395, 0.750, 0.065], [0.895, 0.750, 0.435], [0.150, 0.750, 0.259], [0.882, 0.250, 0.128], [0.726, 0.250, 0.458], [0.226, 0.250, 0.042], [0.774, 0.750, 0.958], [0.274, 0.750, 0.542], [0.990, 0.250, 0.909], [0.510, 0.750, 0.409], [0.490, 0.250, 0.591], [0.010, 0.750, 0.091], [0.484, 0.750, 0.830], [0.516, 0.250, 0.170], [0.016, 0.250, 0.330], [0.984, 0.750, 0.670]], "e_tot_ev_per_atom": -4.563}



{"formula": "Zr4Cd2CN", "functional": "PBE", "state": "optimized geometry", "cell": [[-1.260, 2.274, -2.080], [-2.031, -2.086, 1.615], [-1.047, 9.837, 11.388]], "species": ["Cd", "Cd", "Zr", "Zr", "Zr", "Zr", "C", "N"], "frac_coords": [[0.333, 0.667, 0.747], [0.667, 0.333, 0.253], [0.333, 0.667, 0.419], [0.667, 0.333, 0.917], [0.667, 0.333, 0.581], [0.333, 0.667, 0.083], [0.000, 0.000, 0.000], [0.000, 0.000, 0.500]], "e_tot_ev_per_atom": -7.433}